#A
Here is a geometry-optimized Dy4Er structure from Alexandria. Energies are from PBE.

Total magnetization: 0.000 μB per atom
Calculated density: 8.8 g cm⁻³

Geometry as CIF:
```
data_Dy4Er
_chemical_formula_sum 'Dy4 Er1'
_space_group_name_H-M_alt 'P 1'
_space_group_IT_number 1
_space_group_name_Hall 'P 1'
_cell_length_a 3.5274
_cell_length_b 3.5274
_cell_length_c 14.4947
_cell_angle_alpha 83.13
_cell_angle_beta 83.13
_cell_angle_gamma 60.05
loop_
_atom_site_label
_atom_site_type_symbol
_atom_site_fract_x
_atom_site_fract_y
_atom_site_fract_z
Dy1 Dy 0.7996 0.7996 0.6002
Dy2 Dy 0.3995 0.3995 0.8008
Er1 Er 0.0000 0.0000 0.0000
Dy3 Dy 0.6005 0.6005 0.1992
Dy4 Dy 0.2004 0.2004 0.3998
```

#B
Here is a geometry-optimized Dy4Er structure from Alexandria. Energies are from PBE.

Total magnetization: 0.000 μB per atom
Calculated density: 8.7 g cm⁻³

Geometry as CIF:
```
data_Dy4Er
_chemical_formula_sum 'Dy8 Er2'
_space_group_name_H-M_alt 'P 1'
_space_group_IT_number 1
_space_group_name_Hall 'P 1'
_cell_length_a 6.9730
_cell_length_b 6.4287
_cell_length_c 9.4006
_cell_angle_alpha 63.72
_cell_angle_beta 68.23
_cell_angle_gamma 57.16
loop_
_atom_site_label
_atom_site_type_symbol
_atom_site_fract_x
_atom_site_fract_y
_atom_site_fract_z
Dy1 Dy 0.1506 0.8012 0.3978
Er1 Er 0.7501 0.0000 0.0000
Dy2 Dy 0.3496 0.1988 0.6022
Dy3 Dy 0.8494 0.1988 0.6022
Er2 Er 0.2499 0.0000 0.0000
Dy4 Dy 0.6504 0.8012 0.3978
Dy5 Dy 0.1954 0.3914 0.2179
Dy6 Dy 0.3043 0.6089 0.7824
Dy7 Dy 0.6957 0.3911 0.2176
Dy8 Dy 0.8046 0.6086 0.7821
```

#C
Here is a geometry-optimized Dy4Er structure from Alexandria. Energies are from PBE.

Total magnetization: 0.000 μB per atom
Calculated density: 7.7 g cm⁻³

Geometry as CIF:
```
data_Dy4Er
_chemical_formula_sum 'Dy4 Er1'
_space_group_name_H-M_alt 'P 1'
_space_group_IT_number 1
_space_group_name_Hall 'P 1'
_cell_length_a 5.6176
_cell_length_b 5.6176
_cell_length_c 5.6176
_cell_angle_alpha 90.00
_cell_angle_beta 90.00
_cell_angle_gamma 90.00
loop_
_atom_site_label
_atom_site_type_symbol
_atom_site_fract_x
_atom_site_fract_y
_atom_site_fract_z
Dy1 Dy 0.5000 0.5000 0.0000
Dy2 Dy 0.5000 0.0000 0.5000
Dy3 Dy 0.0000 0.5000 0.5000
Dy4 Dy 0.0000 0.0000 0.0000
Er1 Er 0.5000 0.5000 0.5000
```

Taking the most stable structure as the zero point, the relative energies in meV/atom are #A 0; #B 37; #C 703.

#A
Here is a geometry-optimized Dy7Er3 structure from Alexandria. Energies are from PBE.

Total magnetization: 0.000 μB per atom
Calculated density: 8.8 g cm⁻³

Geometry as CIF:
```
data_Dy7Er3
_chemical_formula_sum 'Dy7 Er3'
_space_group_name_H-M_alt 'P 1'
_space_group_IT_number 1
_space_group_name_Hall 'P 1'
_cell_length_a 4.9742
_cell_length_b 7.0608
_cell_length_c 9.3116
_cell_angle_alpha 100.84
_cell_angle_beta 105.49
_cell_angle_gamma 90.00
loop_
_atom_site_label
_atom_site_type_symbol
_atom_site_fract_x
_atom_site_fract_y
_atom_site_fract_z
Dy1 Dy 0.2001 0.1001 0.4001
Dy2 Dy 0.7999 0.8999 0.5999
Dy3 Dy 0.4001 0.2001 0.8001
Dy4 Dy 0.6001 0.3004 0.2003
Er1 Er 0.2003 0.6002 0.4005
Dy5 Dy 0.5999 0.7999 0.1999
Dy6 Dy 0.3999 0.6996 0.7997
Er2 Er 0.7997 0.3998 0.5995
Er3 Er 0.0000 0.0000 0.0000
Dy7 Dy 0.0000 0.5000 0.0000
```

#B
Here is a geometry-optimized Dy7Er3 structure from Alexandria. Energies are from PBE.

Total magnetization: 0.096 μB per atom
Calculated density: 8.6 g cm⁻³

Geometry as CIF:
```
data_Dy7Er3
_chemical_formula_sum 'Dy14 Er6'
_space_group_name_H-M_alt 'P 1'
_space_group_IT_number 1
_space_group_name_Hall 'P 1'
_cell_length_a 6.2683
_cell_length_b 10.7857
_cell_length_c 10.7857
_cell_angle_alpha 120.00
_cell_angle_beta 90.00
_cell_angle_gamma 90.00
loop_
_atom_site_label
_atom_site_type_symbol
_atom_site_fract_x
_atom_site_fract_y
_atom_site_fract_z
Dy1 Dy 0.3775 0.1184 0.2368
Dy2 Dy 0.2282 0.0582 0.5291
Er1 Er 0.8653 0.2125 0.4249
Dy3 Dy 0.8775 0.2368 0.1184
Er2 Er 0.3653 0.7875 0.2125
Dy4 Dy 0.4948 0.3333 0.6667
Dy5 Dy 0.7282 0.9418 0.4709
Dy6 Dy 0.8775 0.8816 0.1184
Er3 Er 0.3653 0.4249 0.2125
Dy7 Dy 0.7282 0.5291 0.0582
Dy8 Dy 0.9948 0.6667 0.3333
Er4 Er 0.8653 0.5751 0.7875
Dy9 Dy 0.3775 0.7632 0.8816
Dy10 Dy 0.3775 0.1184 0.8816
Dy11 Dy 0.2282 0.4709 0.9418
Dy12 Dy 0.2282 0.4709 0.5291
Er5 Er 0.8653 0.2125 0.7875
Dy13 Dy 0.7282 0.5291 0.4709
Er6 Er 0.3653 0.7875 0.5751
Dy14 Dy 0.8775 0.8816 0.7632
```

Taking the most stable structure as the zero point, the relative energies in meV/atom are #A 0; #B 185.

#A
Here is a geometry-optimized Eu2DyEr structure from Alexandria. Energies are from PBE.

Total magnetization: 3.653 μB per atom
Calculated density: 7.5 g cm⁻³

Geometry as CIF:
```
data_Eu2DyEr
_chemical_formula_sum 'Eu2 Dy1 Er1'
_space_group_name_H-M_alt 'P 1'
_space_group_IT_number 1
_space_group_name_Hall 'P 1'
_cell_length_a 4.1141
_cell_length_b 5.8310
_cell_length_c 5.8310
_cell_angle_alpha 90.00
_cell_angle_beta 90.00
_cell_angle_gamma 90.00
loop_
_atom_site_label
_atom_site_type_symbol
_atom_site_fract_x
_atom_site_fract_y
_atom_site_fract_z
Dy1 Dy 0.5000 0.5000 0.5000
Eu1 Eu 0.0000 0.5000 0.0000
Eu2 Eu 0.0000 0.0000 0.5000
Er1 Er 0.5000 0.0000 0.0000
```

#B
Here is a geometry-optimized Eu2DyEr structure from Alexandria. Energies are from PBE.

Total magnetization: 3.869 μB per atom
Calculated density: 7.4 g cm⁻³

Geometry as CIF:
```
data_Eu2DyEr
_chemical_formula_sum 'Eu2 Dy1 Er1'
_space_group_name_H-M_alt 'P 1'
_space_group_IT_number 1
_space_group_name_Hall 'P 1'
_cell_length_a 3.5641
_cell_length_b 3.5641
_cell_length_c 13.0139
_cell_angle_alpha 82.13
_cell_angle_beta 82.13
_cell_angle_gamma 60.00
loop_
_atom_site_label
_atom_site_type_symbol
_atom_site_fract_x
_atom_site_fract_y
_atom_site_fract_z
Er1 Er 0.0000 0.0000 0.0000
Eu1 Eu 0.9129 0.9129 0.2612
Eu2 Eu 0.0871 0.0871 0.7388
Dy1 Dy 0.5000 0.5000 0.5000
```

#C
Here is a geometry-optimized Eu2DyEr structure from Alexandria. Energies are from PBE.

Total magnetization: 3.816 μB per atom
Calculated density: 7.6 g cm⁻³

Geometry as CIF:
```
data_Eu2DyEr
_chemical_formula_sum 'Eu2 Dy1 Er1'
_space_group_name_H-M_alt 'P 1'
_space_group_IT_number 1
_space_group_name_Hall 'P 1'
_cell_length_a 3.6504
_cell_length_b 3.6504
_cell_length_c 10.4546
_cell_angle_alpha 90.00
_cell_angle_beta 90.00
_cell_angle_gamma 90.00
loop_
_atom_site_label
_atom_site_type_symbol
_atom_site_fract_x
_atom_site_fract_y
_atom_site_fract_z
Er1 Er 0.5000 0.5000 0.0000
Eu1 Eu 0.0000 0.0000 0.2487
Dy1 Dy 0.5000 0.5000 0.5000
Eu2 Eu 0.0000 0.0000 0.7513
```

Taking the most stable structure as the zero point, the relative energies in meV/atom are #A 47; #B 117; #C 0.

#A
Here is a geometry-optimized DyErFe structure from Alexandria. Energies are from PBE.

Total magnetization: 0.250 μB per atom
Calculated density: 8.8 g cm⁻³

Geometry as CIF:
```
data_DyErFe
_chemical_formula_sum 'Dy4 Er4 Fe4'
_space_group_name_H-M_alt 'P 1'
_space_group_IT_number 1
_space_group_name_Hall 'P 1'
_cell_length_a 6.7782
_cell_length_b 6.8142
_cell_length_c 7.2849
_cell_angle_alpha 90.00
_cell_angle_beta 90.00
_cell_angle_gamma 119.83
loop_
_atom_site_label
_atom_site_type_symbol
_atom_site_fract_x
_atom_site_fract_y
_atom_site_fract_z
Fe1 Fe 0.0924 0.1847 0.9562
Fe2 Fe 0.5924 0.1847 0.5438
Fe3 Fe 0.4076 0.8153 0.4562
Dy1 Dy 0.1973 0.3947 0.6134
Dy2 Dy 0.6973 0.3947 0.8866
Dy3 Dy 0.3027 0.6053 0.1134
Dy4 Dy 0.8027 0.6053 0.3866
Er1 Er 0.7056 0.9112 0.7500
Fe4 Fe 0.9076 0.8153 0.0438
Er2 Er 0.7944 0.0888 0.2500
Er3 Er 0.2944 0.0888 0.2500
Er4 Er 0.2056 0.9112 0.7500
```

#B
Here is a geometry-optimized DyErFe structure from Alexandria. Energies are from PBE.

Total magnetization: 0.000 μB per atom
Calculated density: 9.2 g cm⁻³

Geometry as CIF:
```
data_DyErFe
_chemical_formula_sum 'Dy1 Er1 Fe1'
_space_group_name_H-M_alt 'P 1'
_space_group_IT_number 1
_space_group_name_Hall 'P 1'
_cell_length_a 3.3076
_cell_length_b 3.3076
_cell_length_c 6.7849
_cell_angle_alpha 104.11
_cell_angle_beta 104.11
_cell_angle_gamma 90.00
loop_
_atom_site_label
_atom_site_type_symbol
_atom_site_fract_x
_atom_site_fract_y
_atom_site_fract_z
Fe1 Fe 0.6676 0.6676 0.3351
Dy1 Dy 0.0405 0.0405 0.0810
Er1 Er 0.2919 0.2919 0.5839
```

Taking the most stable structure as the zero point, the relative energies in meV/atom are #A 13; #B 0.

#A
Here is a geometry-optimized DyEr3Fe structure from Alexandria. Energies are from PBE.

Total magnetization: 0.000 μB per atom
Calculated density: 8.4 g cm⁻³

Geometry as CIF:
```
data_DyEr3Fe
_chemical_formula_sum 'Dy1 Er3 Fe1'
_space_group_name_H-M_alt 'P 1'
_space_group_IT_number 1
_space_group_name_Hall 'P 1'
_cell_length_a 5.2153
_cell_length_b 5.2153
_cell_length_c 5.2153
_cell_angle_alpha 90.00
_cell_angle_beta 90.00
_cell_angle_gamma 90.00
loop_
_atom_site_label
_atom_site_type_symbol
_atom_site_fract_x
_atom_site_fract_y
_atom_site_fract_z
Dy1 Dy 0.5000 0.5000 0.5000
Er1 Er 0.0000 0.0000 0.5000
Er2 Er 0.0000 0.5000 0.0000
Er3 Er 0.5000 0.0000 0.0000
Fe1 Fe 0.0000 0.0000 0.0000
```

#B
Here is a geometry-optimized DyEr3Fe structure from Alexandria. Energies are from PBE.

Total magnetization: 0.288 μB per atom
Calculated density: 8.8 g cm⁻³

Geometry as CIF:
```
data_DyEr3Fe
_chemical_formula_sum 'Dy2 Er6 Fe2'
_space_group_name_H-M_alt 'P 1'
_space_group_IT_number 1
_space_group_name_Hall 'P 1'
_cell_length_a 3.5829
_cell_length_b 9.1058
_cell_length_c 10.3777
_cell_angle_alpha 126.98
_cell_angle_beta 90.00
_cell_angle_gamma 90.00
loop_
_atom_site_label
_atom_site_type_symbol
_atom_site_fract_x
_atom_site_fract_y
_atom_site_fract_z
Er1 Er 0.2500 0.7923 0.9890
Er2 Er 0.7500 0.9632 0.3357
Fe1 Fe 0.2500 0.4079 0.9418
Dy1 Dy 0.7500 0.7001 0.6375
Fe2 Fe 0.7500 0.5921 0.0582
Dy2 Dy 0.2500 0.2999 0.3625
Er3 Er 0.7500 0.3867 0.7121
Er4 Er 0.2500 0.0368 0.6643
Er5 Er 0.7500 0.2077 0.0110
Er6 Er 0.2500 0.6133 0.2879
```

Taking the most stable structure as the zero point, the relative energies in meV/atom are #A 85; #B 0.

#A
Here is a geometry-optimized DyErGa4 structure from Alexandria. Energies are from PBE.

Total magnetization: 0.000 μB per atom
Calculated density: 8.6 g cm⁻³

Geometry as CIF:
```
data_DyErGa4
_chemical_formula_sum 'Dy1 Er1 Ga4'
_space_group_name_H-M_alt 'P 1'
_space_group_IT_number 1
_space_group_name_Hall 'P 1'
_cell_length_a 5.4912
_cell_length_b 5.4912
_cell_length_c 5.4912
_cell_angle_alpha 60.00
_cell_angle_beta 60.00
_cell_angle_gamma 60.00
loop_
_atom_site_label
_atom_site_type_symbol
_atom_site_fract_x
_atom_site_fract_y
_atom_site_fract_z
Ga1 Ga 0.6250 0.1249 0.6250
Ga2 Ga 0.6250 0.6250 0.6250
Dy1 Dy 0.2500 0.2500 0.2500
Ga3 Ga 0.6250 0.6250 0.1249
Er1 Er 0.0000 0.0000 0.0000
Ga4 Ga 0.1249 0.6250 0.6250
```

#B
Here is a geometry-optimized DyErGa4 structure from Alexandria. Energies are from PBE.

Total magnetization: 0.000 μB per atom
Calculated density: 8.3 g cm⁻³

Geometry as CIF:
```
data_DyErGa4
_chemical_formula_sum 'Dy1 Er1 Ga4'
_space_group_name_H-M_alt 'P 1'
_space_group_IT_number 1
_space_group_name_Hall 'P 1'
_cell_length_a 4.2450
_cell_length_b 5.7811
_cell_length_c 5.7811
_cell_angle_alpha 73.92
_cell_angle_beta 68.46
_cell_angle_gamma 68.46
loop_
_atom_site_label
_atom_site_type_symbol
_atom_site_fract_x
_atom_site_fract_y
_atom_site_fract_z
Ga1 Ga 0.1613 0.6409 0.0365
Dy1 Dy 0.5598 0.4402 0.4402
Ga2 Ga 0.1613 0.0365 0.6409
Er1 Er 0.4391 0.0609 0.0609
Ga3 Ga 0.8392 0.4610 0.8605
Ga4 Ga 0.8392 0.8605 0.4610
```

Taking the most stable structure as the zero point, the relative energies in meV/atom are #A 81; #B 0.